Computed, not measured: a relaxed YBeSb crystal at the PBE-GGA level of DFT.

Geometry as extended XYZ:
```
3
Lattice="-1.595 4.798 2.822 -2.188 0.549 5.333 4.190 -2.450 -3.157" Properties=species:S:1:pos:R:3 pbc="T T T"
Y -2.497 3.529 5.382
Sb -1.391 1.966 2.998
Be -3.678 5.198 7.928
```

Properties
space group: I4mm, No. 107
formation energy from raw total energies: -88 meV/atom
energy: -4.8587 eV/atom
calculated density: 5.6 g/cm3